No. 1
First-principles (PBE-GGA) data for a relaxed BaLiPrCd crystal, as listed in Alexandria via LeMat-Bulk.

The structure belongs to space group F-43m (No. 216); the cell edges are 8.1429, 8.1429 and 8.1429 Å and the angles 90.00°, 90.00° and 90.00°. The inequivalent atoms are Ba at (0.0000, 0.0000, 0.0000), Li at (0.2500, 0.2500, 0.7500), Pr at (0.0000, 0.0000, 0.5000) and Cd at (0.2500, 0.2500, 0.2500).

The energy relative to the elements is -0.04 eV per atom. For the calculated volume, the calculation gives 33.75 Å³ per atom.

=====

No. 2
First-principles (PBE-GGA) data for a relaxed Tb2Pr5NdHo crystal, as listed in Alexandria via LeMat-Bulk.

The structure belongs to space group I4/mcm (No. 140); the cell edges are 9.4794, 9.4794 and 14.2574 Å and the angles 90.00°, 90.00° and 90.00°. The inequivalent atoms are Tb at (0.1085, 0.3915, 0.0000), Pr at (0.0000, 0.0000, 0.0000), Pr at (0.2028, 0.2972, 0.3675), Nd at (0.0000, 0.0000, 0.2500) and Ho at (0.0000, 0.5000, 0.2500).

The energy relative to the elements is 0.29 eV per atom. For the calculated volume, the calculation gives 35.59 Å³ per atom.

=====

No. 3
First-principles (PBE-GGA) data for a relaxed Dy2Ga5IrRh2 crystal, as listed in Alexandria via LeMat-Bulk.

The structure belongs to space group P4/mbm (No. 127); the cell edges are 9.5863, 9.5863 and 3.8562 Å and the angles 90.00°, 90.00° and 90.00°. The inequivalent atoms are Dy at (0.1832, 0.3168, 0.0000), Ga at (0.0000, 0.5000, 0.5000), Ga at (0.0518, 0.8056, 0.5000), Ir at (0.0000, 0.0000, 0.0000) and Rh at (0.1163, 0.6163, 0.0000).

The energy relative to the elements is -0.58 eV per atom. For the calculated volume, the calculation gives 17.72 Å³ per atom.

=====

No. 4
First-principles (PBE-GGA) data for a relaxed AcLaDy2S4 crystal, as listed in Alexandria via LeMat-Bulk.

The structure belongs to space group P2/m (No. 10); the cell edges are 6.9508, 3.9904 and 7.2405 Å and the angles 90.00°, 108.52° and 90.00°. The inequivalent atoms are Ac at (0.0000, 0.0000, 0.0000), La at (0.5000, 0.5000, 0.0000), Dy at (0.0000, 0.5000, 0.5000), Dy at (0.5000, 0.0000, 0.5000), S at (0.2448, 0.0000, 0.7250) and S at (0.2630, 0.5000, 0.2781).

For the calculated volume, the calculation gives 23.80 Å³ per atom. The calculation puts the total energy at -6.377 eV/atom.

=====

No. 5
First-principles (PBE-GGA) data for a relaxed LiPm2PdO5 crystal, as listed in Alexandria via LeMat-Bulk.

The structure belongs to space group P4/mbm (No. 127); the cell edges are 6.7306, 6.7306 and 5.8110 Å and the angles 90.00°, 90.00° and 90.00°. The inequivalent atoms are Li at (0.0000, 0.0000, 0.0000), Pm at (0.1743, 0.3257, 0.5000), Pd at (0.0000, 0.5000, 0.0000), O at (0.0000, 0.0000, 0.5000) and O at (0.1381, 0.6381, 0.2536).

For the calculated volume, the calculation gives 14.62 Å³ per atom. The calculation puts the total energy at -6.738 eV/atom.

=====

No. 6
First-principles (PBE-GGA) data for a relaxed LiEuF2 crystal, as listed in Alexandria via LeMat-Bulk.

The structure belongs to space group I4_1/amd (No. 141, origin choice 2); the cell edges are 7.2117, 7.2117 and 11.3400 Å and the angles 90.00°, 90.00° and 90.00°. The inequivalent atoms are Li at (0.0000, 0.0000, 0.0000), Eu at (0.0000, 0.0000, 0.5000) and F at (0.0000, 0.0511, 0.1588).

As for the relative energy among the computed polymorphs: 6.8 meV/atom. For the calculated volume, the calculation gives 18.43 Å³ per atom.

=====

No. 7
First-principles (PBE-GGA) data for a relaxed LiZn2Sb crystal, as listed in Alexandria via LeMat-Bulk.

The structure belongs to space group C2/m (No. 12); the cell edges are 5.3893, 10.5594 and 3.0744 Å and the angles 90.00°, 118.95° and 90.00°. The inequivalent atoms are Li at (0.0000, 0.0000, 0.0000), Zn at (0.2500, 0.2500, 0.0000) and Sb at (0.0000, 0.5000, 0.0000).

For the calculated volume, the calculation gives 19.14 Å³ per atom. The calculation puts the total energy at -2.206 eV/atom.

=====

No. 8
First-principles (PBE-GGA) data for a relaxed Rb2MoHCl6 crystal, as listed in Alexandria via LeMat-Bulk.

The structure belongs to space group I4/mmm (No. 139); the cell edges are 7.9490, 7.9490 and 9.0939 Å and the angles 90.00°, 90.00° and 90.00°. The inequivalent atoms are Rb at (0.0000, 0.5000, 0.2500), Mo at (0.0000, 0.0000, 0.0000), H at (0.0000, 0.0000, 0.5000), Cl at (0.0000, 0.0000, 0.3226) and Cl at (0.2139, 0.2139, 0.0000).

For the calculated volume, the calculation gives 28.73 Å³ per atom. The calculation puts the total energy at -3.841 eV/atom.

=====

No. 9
First-principles (PBE-GGA) data for a relaxed Cs2HgBr2Cl2 crystal, as listed in Alexandria via LeMat-Bulk.

The structure belongs to space group I4/mmm (No. 139); the cell edges are 5.5723, 5.5723 and 17.5323 Å and the angles 90.00°, 90.00° and 90.00°. The inequivalent atoms are Cs at (0.0000, 0.0000, 0.1317), Hg at (0.0000, 0.0000, 0.5000), Br at (0.0000, 0.0000, 0.3441) and Cl at (0.0000, 0.5000, 0.0000).

For the calculated volume, the calculation gives 38.89 Å³ per atom. The calculation puts the total energy at -2.628 eV/atom.

=====

No. 10
First-principles (PBE-GGA) data for a relaxed Na3Co2Br8 crystal, as listed in Alexandria via LeMat-Bulk.

The structure belongs to space group Cmce (No. 64); the cell edges are 8.6307, 15.9999 and 11.6262 Å and the angles 90.00°, 90.00° and 90.00°. The inequivalent atoms are Na at (0.0000, 0.0000, 0.0000), Na at (0.2500, 0.1389, 0.2500), Co at (0.0000, 0.1190, 0.6218), Br at (0.0000, 0.0036, 0.2565), Br at (0.0000, 0.2365, 0.7456) and Br at (0.2278, 0.1239, 0.5104).

For the calculated volume, the calculation gives 30.87 Å³ per atom. The calculation puts the total energy at -3.267 eV/atom.

=====

No. 11
First-principles (PBE-GGA) data for a relaxed Nd8Tl5Ag crystal, as listed in Alexandria via LeMat-Bulk.

The structure belongs to space group I-4 (No. 82); the cell edges are 9.5727, 9.5727 and 9.6082 Å and the angles 90.00°, 90.00° and 90.00°. The inequivalent atoms are Nd at (0.0724, 0.1816, 0.2990), Nd at (0.0752, 0.3231, 0.9477), Tl at (0.0000, 0.0000, 0.0000), Tl at (0.1230, 0.2487, 0.6237) and Ag at (0.0000, 0.5000, 0.2500).

The energy relative to the elements is -0.25 eV per atom. For the calculated volume, the calculation gives 31.45 Å³ per atom.

=====

No. 12
First-principles (PBE-GGA) data for a relaxed Mg2Pb5 crystal, as listed in Alexandria via LeMat-Bulk.

The structure belongs to space group I4/mmm (No. 139); the cell edges are 3.5335, 3.5335 and 32.4015 Å and the angles 90.00°, 90.00° and 90.00°. The inequivalent atoms are Mg at (0.0000, 0.0000, 0.2205), Pb at (0.0000, 0.0000, 0.0784), Pb at (0.0000, 0.0000, 0.3441) and Pb at (0.0000, 0.0000, 0.5000).

The energy relative to the elements is 0.00 eV per atom. For the calculated volume, the calculation gives 28.90 Å³ per atom.

=====

No. 13
First-principles (PBE-GGA) data for a relaxed NaNb3V crystal, as listed in Alexandria via LeMat-Bulk.

The structure belongs to space group Pm-3m (No. 221); the cell edges are 4.7520, 4.7520 and 4.7520 Å and the angles 90.00°, 90.00° and 90.00°. The inequivalent atoms are Na at (0.0000, 0.0000, 0.0000), Nb at (0.0000, 0.5000, 0.5000) and V at (0.5000, 0.5000, 0.5000).

The energy relative to the elements is 1.11 eV per atom. As for the relative energy among the computed polymorphs: 0.0 meV/atom. For the calculated volume, the calculation gives 21.46 Å³ per atom.

=====

No. 14
First-principles (PBE-GGA) data for a relaxed LiPmNiHg crystal, as listed in Alexandria via LeMat-Bulk.

The structure belongs to space group F-43m (No. 216); the cell edges are 6.7203, 6.7203 and 6.7203 Å and the angles 90.00°, 90.00° and 90.00°. The inequivalent atoms are Li at (0.0000, 0.0000, 0.0000), Pm at (0.2500, 0.2500, 0.7500), Ni at (0.0000, 0.0000, 0.5000) and Hg at (0.2500, 0.2500, 0.2500).

The energy relative to the elements is -0.21 eV per atom. For the calculated volume, the calculation gives 18.97 Å³ per atom.

=====

No. 15
First-principles (PBE-GGA) data for a relaxed NaCa2In2 crystal, as listed in Alexandria via LeMat-Bulk.

The structure belongs to space group I4/mmm (No. 139); the cell edges are 5.0370, 5.0370 and 13.9863 Å and the angles 90.00°, 90.00° and 90.00°. The inequivalent atoms are Na at (0.0000, 0.0000, 0.0000), Ca at (0.0000, 0.5000, 0.2500) and In at (0.0000, 0.0000, 0.4008).

The energy relative to the elements is -0.08 eV per atom. As for the relative energy among the computed polymorphs: 230.5 meV/atom. For the calculated volume, the calculation gives 35.48 Å³ per atom.

=====

No. 16
First-principles (PBE-GGA) data for a relaxed YbH3O3 crystal, as listed in Alexandria via LeMat-Bulk.

The structure belongs to space group P2_1/m (No. 11); the cell edges are 6.3532, 3.5301 and 6.3554 Å and the angles 90.00°, 119.87° and 90.00°. The inequivalent atoms are Yb at (0.1664, 0.2500, 0.3328), H at (0.2215, 0.2500, 0.8551), H at (0.3565, 0.7500, 0.1341), H at (0.3654, 0.7500, 0.7203), O at (0.1064, 0.2500, 0.9144), O at (0.1913, 0.7500, 0.6055) and O at (0.4147, 0.7500, 0.3081).

For the calculated volume, the calculation gives 8.83 Å³ per atom. The calculation puts the total energy at -5.401 eV/atom.

=====

No. 17
First-principles (PBE-GGA) data for a relaxed ErTh2Ni crystal, as listed in Alexandria via LeMat-Bulk.

The structure belongs to space group P4/mmm (No. 123); the cell edges are 3.5520, 3.5520 and 8.4563 Å and the angles 90.00°, 90.00° and 90.00°. The inequivalent atoms are Er at (0.0000, 0.0000, 0.0000), Th at (0.5000, 0.5000, 0.3046) and Ni at (0.0000, 0.0000, 0.5000).

The energy relative to the elements is -0.09 eV per atom. As for the relative energy among the computed polymorphs: 131.7 meV/atom. For the calculated volume, the calculation gives 26.67 Å³ per atom.

=====

No. 18
First-principles (PBE-GGA) data for a relaxed ZnCd2Br crystal, as listed in Alexandria via LeMat-Bulk.

The structure belongs to space group Immm (No. 71); the cell edges are 3.8915, 6.2719 and 8.7026 Å and the angles 90.00°, 90.00° and 90.00°. The inequivalent atoms are Zn at (0.0000, 0.0000, 0.0000), Cd at (0.0000, 0.5000, 0.2705) and Br at (0.0000, 0.0000, 0.5000).

As for the relative energy among the computed polymorphs: 108.5 meV/atom. For the calculated volume, the calculation gives 26.55 Å³ per atom.

=====

No. 19
First-principles (PBE-GGA) data for a relaxed PrCu5Rh crystal, as listed in Alexandria via LeMat-Bulk.

The structure belongs to space group Pnma (No. 62); the cell edges are 8.1640, 5.0638 and 10.2905 Å and the angles 90.00°, 90.00° and 90.00°. The inequivalent atoms are Pr at (0.2362, 0.2500, 0.0662), Cu at (0.0575, 0.7500, 0.1011), Cu at (0.0670, 0.0039, 0.3119), Cu at (0.0964, 0.2500, 0.5175), Cu at (0.1829, 0.2500, 0.7534) and Rh at (0.1415, 0.7500, 0.8572).

The energy relative to the elements is -0.18 eV per atom. For the calculated volume, the calculation gives 15.19 Å³ per atom.

=====

No. 20
First-principles (PBE-GGA) data for a relaxed Pm2Hg6Au crystal, as listed in Alexandria via LeMat-Bulk.

The structure belongs to space group P-3m1 (No. 164); the cell edges are 6.7563, 6.7563 and 5.6765 Å and the angles 90.00°, 90.00° and 120.00°. The inequivalent atoms are Pm at (0.3333, 0.6667, 0.3021), Hg at (0.1834, 0.3667, 0.8107) and Au at (0.0000, 0.0000, 0.5000).

The energy relative to the elements is -0.29 eV per atom. As for the relative energy among the computed polymorphs: 36.2 meV/atom. For the calculated volume, the calculation gives 24.94 Å³ per atom.

=====

No. 21
First-principles (PBE-GGA) data for a relaxed SrPuH8Pt2 crystal, as listed in Alexandria via LeMat-Bulk.

The structure belongs to space group R-3m (No. 166, hexagonal axes); the cell edges are 4.7292, 4.7292 and 20.1704 Å and the angles 90.00°, 90.00° and 120.00°. The inequivalent atoms are Sr at (0.0000, 0.0000, 0.0000), Pu at (0.0000, 0.0000, 0.5000), H at (0.0000, 0.0000, 0.1488), H at (0.0467, 0.5234, 0.0651) and Pt at (0.0000, 0.0000, 0.2333).

For the calculated volume, the calculation gives 10.85 Å³ per atom. The calculation puts the total energy at -4.813 eV/atom.